Entry 1:
This record from Alexandria via LeMat-Bulk describes CoMoAs2 after structural relaxation. The functional is GGA-PBE.

Calculated values
**ΔH_f (0 K)**: 0.173 eV per atom
**Spin magnetization**: 0.00 μB per formula unit
**Raw total energy**: -6.636 eV per atom

a b c (Å): 4.6548 4.6548 4.6548
angles (deg): 136.40 119.58 77.42
Element x y z (fractional)
Co 0.0000 0.0000 0.0000
Mo 0.5000 0.5000 0.0000
As 0.2186 0.7186 0.5000
As 0.7814 0.2814 0.5000



Entry 2:
This record from Alexandria via LeMat-Bulk describes CoMoAs2 after structural relaxation. The functional is GGA-PBE.

Calculated values
**ΔH_f (0 K)**: 0.277 eV per atom
**Spin magnetization**: 0.00 μB per formula unit
**Raw total energy**: -6.532 eV per atom

a b c (Å): 2.9647 2.9647 7.4214
angles (deg): 90.00 90.00 112.26
Element x y z (fractional)
Co 0.0000 0.0000 0.0000
Mo 0.0000 0.0000 0.5000
As 0.5000 0.5000 0.2307
As 0.5000 0.5000 0.7693



Entry 3:
This record from Alexandria via LeMat-Bulk describes Co3MoAs after structural relaxation. The functional is GGA-PBE.

Calculated values
**ΔH_f (0 K)**: 0.941 eV per atom
**Energy relative to the lowest polymorph listed for this composition**: 0.00 eV per formula unit
**Spin magnetization**: 5.64 μB per formula unit
**Raw total energy**: -6.418 eV per atom

a b c (Å): 4.2503 4.2503 4.2503
angles (deg): 90.00 90.00 90.00
Element x y z (fractional)
Co 0.0000 0.0000 0.5000
Co 0.0000 0.5000 0.0000
Co 0.5000 0.0000 0.0000
Mo 0.5000 0.5000 0.5000
As 0.0000 0.0000 0.0000



Number 1: DOS(E_F) 3.61 states/eV/f.u.. Number 2: DOS(E_F) 4.32 states/eV/f.u.. Number 3: DOS(E_F) 4.70 states/eV/f.u..